Record 1
Density functional theory data (PBE) for crystalline NaCoCuTe3 at its relaxed geometry.

Summary:
The space group is Cmcm. Its total magnetization is 0.00 Bohr magnetons per cell.

Unit cell a=7.1410 b=7.1410 c=10.3721 alpha=90.00 beta=90.00 gamma=31.08
Positions (direct):
Te: 0.9302 0.9302 0.7500
Te: 0.6264 0.6264 0.9748
Te: 0.3736 0.3736 0.0252
Te: 0.6264 0.6264 0.5252
Te: 0.0698 0.0698 0.2500
Te: 0.3736 0.3736 0.4748
Na: 0.2328 0.2328 0.7500
Na: 0.7672 0.7672 0.2500
Co: 0.0000 0.0000 0.5000
Co: 0.0000 0.0000 0.0000
Cu: 0.5552 0.5552 0.7500
Cu: 0.4448 0.4448 0.2500

Record 2
Density functional theory data (PBE) for crystalline NaCoCuTe3 at its relaxed geometry.

Summary:
The space group is P2_1/m. Its total magnetization is 0.02 Bohr magnetons per cell.

Unit cell a=7.6996 b=3.8772 c=9.7558 alpha=90.00 beta=108.38 gamma=90.00
Positions (direct):
Co: 0.6815 0.2500 0.6518
Co: 0.3185 0.7500 0.3482
Te: 0.8971 0.7500 0.6283
Te: 0.4525 0.7500 0.6225
Te: 0.7204 0.2500 0.9283
Te: 0.5475 0.2500 0.3775
Te: 0.2796 0.7500 0.0717
Te: 0.1029 0.2500 0.3717
Na: 0.7558 0.7500 0.2031
Na: 0.2442 0.2500 0.7969
Cu: 0.9376 0.7500 0.9028
Cu: 0.0624 0.2500 0.0972

For each record above, in turn, the calculated energy values are -45.7 -46.5 eV for the cell shown.